Below is a geometry-optimized ScCrAg2 structure, with properties calculated at the PBE level.

Unit cell a=4.990 b=4.990 c=4.990 alpha=128.61 beta=128.67 gamma=75.59
Fractional positions:
Ag 0.000 0.000 0.000
Ag 0.500 0.500 0.000
Cr 0.750 0.250 0.500
Sc 0.250 0.750 0.500

* ρ: 7.04 Mg/m³
* Fermi-level density of states: 2.43 states/eV/cell
* energy above the lowest structure with this stoichiometry: 0.000 eV/atom
* total energy: -5.33 eV/atom
* ΔH_f (0 K): 0.088 eV/atom
* M_tot: 4.224 μB/cell